Below is a relaxed structure of DyMnNbGe2, with properties calculated at the GGA-PBE level.

abc: 6.493 6.493 6.493
angles: 144.22 144.22 51.50
Sites, in units of the cell vectors:
Dy (0.000, 0.000, 0.000)
Mn (0.750, 0.250, 0.500)
Nb (0.250, 0.750, 0.500)
Ge (0.392, 0.392, 0.000)
Ge (0.608, 0.608, 0.000)

Properties
Total magnetic moment   2.03 μB per cell
Space-group type   No. 119
DFT formation energy   -0.478 eV/atom
Electronic total energy   -35.47 eV per cell

Below is a relaxed structure of Dy2TmAl6, with properties calculated at the GGA-PBE level.

abc: 7.898 7.898 3.446
angles: 90.00 90.00 120.00
Sites, in units of the cell vectors:
Dy (0.333, 0.667, 0.000)
Dy (0.667, 0.333, 0.000)
Tm (0.000, 0.000, 0.000)
Al (0.000, 0.333, 0.500)
Al (0.000, 0.667, 0.500)
Al (0.333, 0.000, 0.500)
Al (0.333, 0.333, 0.500)
Al (0.667, 0.000, 0.500)
Al (0.667, 0.667, 0.500)

Properties
Total magnetic moment   0.00 μB per cell
Space-group type   No. 191
Energy above the most stable polymorph in this dataset   0.000 eV per atom
DFT formation energy   -0.492 eV/atom
Electronic total energy   -40.56 eV per cell

Below is a relaxed structure of KHf3S6, with properties calculated at the GGA-PBE level.

abc: 11.433 3.648 11.471
angles: 90.00 107.49 90.00
Sites, in units of the cell vectors:
K (0.131, 0.250, 0.406)
K (0.869, 0.750, 0.594)
Hf (0.146, 0.750, 0.034)
Hf (0.231, 0.250, 0.797)
Hf (0.463, 0.250, 0.347)
Hf (0.537, 0.750, 0.653)
Hf (0.769, 0.750, 0.203)
Hf (0.854, 0.250, 0.966)
S (0.037, 0.250, 0.873)
S (0.148, 0.750, 0.644)
S (0.250, 0.250, 0.183)
S (0.327, 0.750, 0.952)
S (0.367, 0.750, 0.448)
S (0.438, 0.250, 0.740)
S (0.562, 0.750, 0.260)
S (0.633, 0.250, 0.552)
S (0.673, 0.250, 0.048)
S (0.750, 0.750, 0.817)
S (0.852, 0.250, 0.356)
S (0.963, 0.750, 0.127)

Properties
Total magnetic moment   0.00 μB per cell
E_form (uncorrected)   -148.0 kJ/mol of atoms
Space-group type   No. 11
Electronic total energy   -142.12 eV per cell

Below is a relaxed structure of Mg4InPb7, with properties calculated at the GGA-PBE level.

abc: 7.651 7.651 10.991
angles: 123.15 123.15 43.57
Sites, in units of the cell vectors:
Mg (0.067, 0.067, 0.276)
Mg (0.200, 0.200, 0.832)
Mg (0.800, 0.800, 0.168)
Mg (0.933, 0.933, 0.724)
In (0.500, 0.500, 0.500)
Pb (0.000, 0.000, 0.500)
Pb (0.159, 0.159, 0.091)
Pb (0.283, 0.283, 0.622)
Pb (0.425, 0.425, 0.149)
Pb (0.575, 0.575, 0.851)
Pb (0.717, 0.717, 0.378)
Pb (0.841, 0.841, 0.909)

Properties
Total magnetic moment   0.00 μB per cell
Space-group type   No. 12
DFT formation energy   0.063 eV/atom
Electronic total energy   -34.32 eV per cell